The following is a GGA-PBE calculation of an optimized crystal structure of HPdAu, from Alexandria via LeMat-Bulk.

Geometry as POSCAR:
```
HPdAu
1.0
5.0975 0.0000 0.0000
0.0000 2.9737 0.0000
-1.6660 0.0000 4.8809
H Pd Au
2 2 2
Cartesian
0.4573 0.7434 0.6266 H
2.9741 2.2303 4.2543 H
1.3075 2.2303 0.0005 Pd
2.1239 0.7434 4.8804 Pd
0.4471 0.7434 2.5594 Au
2.9843 2.2303 2.3215 Au
```

Summary:
energy above the most stable polymorph in this dataset: 2.3 kJ per mole of atoms
symmetry: P2_1/m

The following is a GGA-PBE calculation of an optimized crystal structure of RbPtO3, from Alexandria via LeMat-Bulk.

Geometry as POSCAR:
```
RbPtO3
1.0
4.2980 0.0000 0.0000
0.0000 4.2980 0.0000
0.0000 0.0000 4.2980
Rb Pt O
1 1 3
Cartesian
0.0000 0.0000 0.0000 Rb
2.1490 2.1490 2.1490 Pt
0.0000 0.0000 2.1490 O
0.0000 2.1490 0.0000 O
2.1490 0.0000 0.0000 O
```

Summary:
symmetry: Pm-3m
E_form (uncorrected): 1.7508 eV/atom